Entry from the Alexandria database: a geometry-optimized Ho2PuHfN4 structure (PBE).

Computed properties:
M_tot (μB per atom): 0.5932
Formation energy (no corrections) (kcal/mol of atoms): -37.846
Volume (A^3/atom): 13.73

abc: 5.856 3.385 5.873
angles: 90.00 109.35 90.00
Fractional positions:
Ho1 0.000 0.000 0.000
Ho2 0.000 0.500 0.500
Pu1 0.500 0.000 0.500
Hf1 0.500 0.500 0.000
N1 0.263 0.500 0.242
N2 0.267 0.000 0.766
N3 0.733 0.000 0.234
N4 0.737 0.500 0.758

=====

Entry from the Alexandria database: a geometry-optimized Cs2AgI structure (PBE).

Computed properties:
E above lowest polymorph (meV per atom): 22
M_tot (μB per atom): 0.0000
Formation energy (no corrections) (kcal/mol of atoms): -16.564
Volume (A^3/atom): 49.05

abc: 4.605 4.605 9.250
angles: 90.00 90.00 90.00
Fractional positions:
Cs1 0.000 0.000 0.250
Cs2 0.000 0.000 0.750
Ag1 0.500 0.500 0.000
I1 0.500 0.500 0.500

=====

Entry from the Alexandria database: a geometry-optimized CrCd structure (PBE).

Computed properties:
M_tot (μB per atom): 2.3004
E_form (meV per atom): 1142
Volume (A^3/atom): 28.32

abc: 4.839 4.839 5.586
angles: 90.00 90.00 120.00
Fractional positions:
Cr1 0.333 0.667 0.250
Cr2 0.667 0.333 0.750
Cd1 0.333 0.667 0.750
Cd2 0.667 0.333 0.250

=====

Entry from the Alexandria database: a geometry-optimized Ce2Sb structure (PBE).

Computed properties:
M_tot (μB per atom): 0.3406
Formation energy (no corrections) (kcal/mol of atoms): -15.713
Volume (A^3/atom): 26.26

abc: 7.485 7.485 5.437
angles: 90.00 90.00 148.85
Fractional positions:
Ce1 0.088 0.912 0.750
Ce2 0.275 0.725 0.250
Ce3 0.725 0.275 0.750
Ce4 0.912 0.088 0.250
Sb1 0.402 0.598 0.750
Sb2 0.598 0.402 0.250